Here is crystalline La3Pm2In at its relaxed geometry from Alexandria via LeMat-Bulk. Energies are from PBE.

a b c (Å): 6.230 7.315 9.394
angles (deg): 101.23 97.52 107.15
Element x y z (fractional)
La1 0.233 0.288 0.418
La2 0.246 0.625 0.734
La3 0.247 0.957 0.077
La4 0.753 0.043 0.923
La5 0.754 0.375 0.266
La6 0.767 0.712 0.582
Pm1 0.262 0.807 0.402
Pm2 0.263 0.459 0.073
Pm3 0.737 0.541 0.927
Pm4 0.738 0.193 0.598
In1 0.251 0.127 0.751
In2 0.749 0.873 0.249

Calculated total energy in eV per atom: -4.649
Offset from the most stable computed form in kcal/mol of atoms: 0.000
Formation energy from the elements in meV per atom: -145